## a
Compound: AlSe2BrN
Source: Alexandria
Functional: GGA-PBE
Structure: optimized geometry

Calculated values
Symmetry: P4/mmm
Total magnetization, μB/f.u.: 0.000

a = 5.268 Å, b = 5.268 Å, c = 3.541 Å
α = 90.00°, β = 90.00°, γ = 90.00°
Element x y z (fractional)
Al: 0.000 0.000 0.000
Se: 0.000 0.500 0.000
Se: 0.500 0.000 0.000
Br: 0.500 0.500 0.500
N: 0.000 0.000 0.500

***

## b
Compound: AlSe2BrN
Source: Alexandria
Functional: GGA-PBE
Structure: optimized geometry

Calculated values
Symmetry: P4/mmm
Total magnetization, μB/f.u.: 1.659

a = 4.924 Å, b = 4.924 Å, c = 5.185 Å
α = 90.00°, β = 90.00°, γ = 90.00°
Element x y z (fractional)
Al: 0.000 0.000 0.000
Se: 0.000 0.500 0.000
Se: 0.500 0.000 0.000
Br: 0.000 0.000 0.500
N: 0.500 0.500 0.500

***

Question: which arrangement is favored energetically? Ranking from most to least stable: a, b.

***

## a
Compound: AlSeBr2N
Source: Alexandria
Functional: GGA-PBE
Structure: optimized geometry

Calculated values
Symmetry: P4/mmm
Total magnetization, μB/f.u.: 2.139

a = 5.137 Å, b = 5.137 Å, c = 4.927 Å
α = 90.00°, β = 90.00°, γ = 90.00°
Element x y z (fractional)
Al: 0.000 0.000 0.000
Se: 0.000 0.000 0.500
Br: 0.000 0.500 0.000
Br: 0.500 0.000 0.000
N: 0.500 0.500 0.500

***

## b
Compound: AlSeBr2N
Source: Alexandria
Functional: GGA-PBE
Structure: optimized geometry

Calculated values
Symmetry: P4/mmm
Total magnetization, μB/f.u.: 0.000

a = 4.853 Å, b = 4.853 Å, c = 4.383 Å
α = 90.00°, β = 90.00°, γ = 90.00°
Element x y z (fractional)
Al: 0.000 0.000 0.000
Se: 0.500 0.500 0.000
Br: 0.000 0.500 0.500
Br: 0.500 0.000 0.500
N: 0.500 0.500 0.500

***

Question: which arrangement is favored energetically? Ranking from most to least stable: a, b.

***

## a
Compound: AlTeBrN2
Source: Alexandria
Functional: GGA-PBE
Structure: optimized geometry

Calculated values
Symmetry: P4/mmm
Total magnetization, μB/f.u.: 0.927

a = 3.949 Å, b = 3.949 Å, c = 7.714 Å
α = 90.00°, β = 90.00°, γ = 90.00°
Element x y z (fractional)
Al: 0.000 0.000 0.000
Te: 0.500 0.500 0.000
Br: 0.500 0.500 0.500
N: 0.000 0.500 0.500
N: 0.500 0.000 0.500

***

## b
Compound: AlTeBrN2
Source: Alexandria
Functional: GGA-PBE
Structure: optimized geometry

Calculated values
Symmetry: P4/mmm
Total magnetization, μB/f.u.: 3.281

a = 3.999 Å, b = 3.999 Å, c = 6.060 Å
α = 90.00°, β = 90.00°, γ = 90.00°
Element x y z (fractional)
Al: 0.000 0.000 0.000
Te: 0.000 0.000 0.500
Br: 0.500 0.500 0.500
N: 0.000 0.500 0.000
N: 0.500 0.000 0.000

***

Question: which arrangement is favored energetically? Ranking from most to least stable: b, a.

***

## a
Compound: NaAl2Br
Source: Alexandria
Functional: GGA-PBE
Structure: optimized geometry

Calculated values
Symmetry: I-42d
Total magnetization, μB/f.u.: 0.000

a = 6.785 Å, b = 6.785 Å, c = 6.785 Å
α = 99.87°, β = 99.87°, γ = 131.09°
Element x y z (fractional)
Na: 0.000 0.000 0.000
Na: 0.750 0.250 0.500
Al: 0.143 0.625 0.018
Al: 0.375 0.393 0.518
Al: 0.607 0.125 0.982
Al: 0.875 0.857 0.482
Br: 0.250 0.750 0.500
Br: 0.500 0.500 0.000

***

## b
Compound: NaAl2Br
Source: Alexandria
Functional: GGA-PBE
Structure: optimized geometry

Calculated values
Symmetry: Fm-3m
Total magnetization, μB/f.u.: 0.000

a = 5.349 Å, b = 5.349 Å, c = 5.349 Å
α = 60.00°, β = 60.00°, γ = 60.00°
Element x y z (fractional)
Na: 0.000 0.000 0.000
Al: 0.250 0.250 0.250
Al: 0.750 0.750 0.750
Br: 0.500 0.500 0.500

***

Question: which arrangement is favored energetically? Ranking from most to least stable: a, b.

***

## a
Compound: NaAlBr4
Source: Alexandria
Functional: GGA-PBE
Structure: optimized geometry

Calculated values
Symmetry: Fddd
Total magnetization, μB/f.u.: 0.000

a = 13.004 Å, b = 9.905 Å, c = 9.878 Å
α = 82.19°, β = 48.99°, γ = 48.82°
Element x y z (fractional)
Na: 0.125 0.125 0.125
Na: 0.875 0.875 0.875
Al: 0.375 0.375 0.375
Al: 0.625 0.625 0.625
Br: 0.183 0.710 0.423
Br: 0.184 0.423 0.710
Br: 0.290 0.817 0.816
Br: 0.423 0.184 0.183
Br: 0.577 0.816 0.817
Br: 0.710 0.183 0.184
Br: 0.816 0.577 0.290
Br: 0.817 0.290 0.577

***

## b
Compound: NaAlBr4
Source: Alexandria
Functional: GGA-PBE
Structure: optimized geometry

Calculated values
Symmetry: Pnma
Total magnetization, μB/f.u.: 0.000

a = 14.044 Å, b = 7.716 Å, c = 7.847 Å
α = 90.00°, β = 90.00°, γ = 90.00°
Element x y z (fractional)
Na: 0.153 0.250 0.050
Na: 0.347 0.750 0.550
Na: 0.653 0.250 0.450
Na: 0.847 0.750 0.950
Al: 0.102 0.750 0.809
Al: 0.398 0.250 0.309
Al: 0.602 0.750 0.691
Al: 0.898 0.250 0.191
Br: 0.033 0.250 0.363
Br: 0.053 0.750 0.092
Br: 0.198 0.510 0.750
Br: 0.198 0.990 0.750
Br: 0.302 0.010 0.250
Br: 0.302 0.490 0.250
Br: 0.447 0.250 0.592
Br: 0.467 0.750 0.863
Br: 0.533 0.250 0.137
Br: 0.553 0.750 0.408
Br: 0.698 0.510 0.750
Br: 0.698 0.990 0.750
Br: 0.802 0.010 0.250
Br: 0.802 0.490 0.250
Br: 0.947 0.250 0.908
Br: 0.967 0.750 0.637

***

Question: which arrangement is favored energetically? Ranking from most to least stable: b, a.

***

## a
Compound: NaAl2Br2
Source: Alexandria
Functional: GGA-PBE
Structure: optimized geometry

Calculated values
Symmetry: I4/mmm
Total magnetization, μB/f.u.: 0.000

a = 6.052 Å, b = 6.052 Å, c = 6.052 Å
α = 122.16°, β = 122.16°, γ = 86.29°
Element x y z (fractional)
Na: 0.000 0.000 0.000
Al: 0.342 0.342 0.000
Al: 0.658 0.658 0.000
Br: 0.250 0.750 0.500
Br: 0.750 0.250 0.500

***

## b
Compound: NaAl2Br2
Source: Alexandria
Functional: GGA-PBE
Structure: optimized geometry

Calculated values
Symmetry: P4/mbm
Total magnetization, μB/f.u.: 0.000

a = 7.945 Å, b = 7.945 Å, c = 4.445 Å
α = 90.00°, β = 90.00°, γ = 90.00°
Element x y z (fractional)
Na: 0.000 0.000 0.000
Na: 0.500 0.500 0.000
Al: 0.122 0.378 0.000
Al: 0.378 0.878 0.000
Al: 0.622 0.122 0.000
Al: 0.878 0.622 0.000
Br: 0.196 0.696 0.500
Br: 0.304 0.196 0.500
Br: 0.696 0.804 0.500
Br: 0.804 0.304 0.500

***

Question: which arrangement is favored energetically? Ranking from most to least stable: a, b.

***

## a
Compound: Na3AlBr6
Source: Alexandria
Functional: GGA-PBE
Structure: optimized geometry

Calculated values
Symmetry: P2_1/c
Total magnetization, μB/f.u.: 0.000

a = 7.083 Å, b = 7.512 Å, c = 12.630 Å
α = 90.00°, β = 124.00°, γ = 90.00°
Element x y z (fractional)
Na: 0.000 0.000 0.000
Na: 0.000 0.500 0.500
Na: 0.280 0.089 0.746
Na: 0.280 0.411 0.246
Na: 0.720 0.589 0.754
Na: 0.720 0.911 0.254
Al: 0.500 0.000 0.500
Al: 0.500 0.500 0.000
Br: 0.143 0.045 0.276
Br: 0.143 0.455 0.776
Br: 0.275 0.674 0.064
Br: 0.275 0.826 0.564
Br: 0.409 0.213 0.071
Br: 0.409 0.287 0.571
Br: 0.591 0.713 0.429
Br: 0.591 0.787 0.929
Br: 0.725 0.174 0.436
Br: 0.725 0.326 0.936
Br: 0.857 0.545 0.224
Br: 0.857 0.955 0.724

***

## b
Compound: Na3AlBr6
Source: Alexandria
Functional: GGA-PBE
Structure: optimized geometry

Calculated values
Symmetry: Cmc2_1
Total magnetization, μB/f.u.: 0.000

a = 9.890 Å, b = 9.890 Å, c = 7.673 Å
α = 90.00°, β = 90.00°, γ = 104.79°
Element x y z (fractional)
Na: 0.054 0.946 0.500
Na: 0.158 0.365 0.427
Na: 0.365 0.158 0.927
Na: 0.635 0.842 0.427
Na: 0.842 0.635 0.927
Na: 0.946 0.054 0.000
Al: 0.300 0.700 0.718
Al: 0.700 0.300 0.218
Br: 0.068 0.618 0.622
Br: 0.137 0.196 0.728
Br: 0.196 0.137 0.228
Br: 0.314 0.686 0.015
Br: 0.382 0.932 0.622
Br: 0.429 0.571 0.561
Br: 0.571 0.429 0.061
Br: 0.618 0.068 0.122
Br: 0.686 0.314 0.515
Br: 0.804 0.863 0.728
Br: 0.863 0.804 0.228
Br: 0.932 0.382 0.122

***

Question: which arrangement is favored energetically? Ranking from most to least stable: b, a.

***

## a
Compound: NaAlSeBr2
Source: Alexandria
Functional: GGA-PBE
Structure: optimized geometry

Calculated values
Symmetry: P4/mmm
Total magnetization, μB/f.u.: 0.000

a = 5.309 Å, b = 5.309 Å, c = 4.836 Å
α = 90.00°, β = 90.00°, γ = 90.00°
Element x y z (fractional)
Na: 0.000 0.000 0.000
Al: 0.500 0.500 0.500
Se: 0.500 0.500 0.000
Br: 0.000 0.500 0.500
Br: 0.500 0.000 0.500

***

## b
Compound: NaAlSeBr2
Source: Alexandria
Functional: GGA-PBE
Structure: optimized geometry

Calculated values
Symmetry: P4/mmm
Total magnetization, μB/f.u.: 2.014

a = 5.548 Å, b = 5.548 Å, c = 5.418 Å
α = 90.00°, β = 90.00°, γ = 90.00°
Element x y z (fractional)
Na: 0.000 0.000 0.000
Al: 0.500 0.500 0.500
Se: 0.000 0.000 0.500
Br: 0.000 0.500 0.000
Br: 0.500 0.000 0.000

***

Question: which arrangement is favored energetically? Ranking from most to least stable: a, b.